Record 1
PrNd8Tm4: relaxed, PBE.

```
PrNd8Tm4
1.0
3.6723 2.1202 9.4966
-3.6723 2.1202 9.4966
0.0000 -4.2404 9.4966
Pr Nd Tm
1 8 4
direct
0.0000 0.0000 0.0000
0.2517 0.2517 0.7035
0.2517 0.7035 0.2517
0.2842 0.2842 0.2842
0.2965 0.7483 0.7483
0.7035 0.2517 0.2517
0.7158 0.7158 0.7158
0.7483 0.2965 0.7483
0.7483 0.7483 0.2965
0.0000 0.0000 0.5000
0.0000 0.5000 0.0000
0.5000 0.0000 0.0000
0.5000 0.5000 0.5000
```

Values from the calculation:
The space-group type is R-3m (166). Its formation energy is 0.181 eV/atom.

=====

Record 2
PrBeAs: relaxed, PBE.

```
PrBeAs
1.0
3.9034 0.0000 0.0000
-1.9517 3.3804 0.0000
0.0000 0.0000 4.3934
Pr Be As
1 1 1
direct
0.0000 0.0000 0.0000
0.3333 0.6667 0.5000
0.6667 0.3333 0.5000
```

Values from the calculation:
The space-group type is P-6m2 (187). The relative energy among the computed polymorphs is 0.0 meV per atom. Its formation energy is -0.861 eV/atom.

=====

Record 3
Tm2Zn16Ru: relaxed, PBE.

```
Tm2Zn16Ru
1.0
4.4728 2.5824 4.3518
-4.4728 2.5824 4.3518
0.0000 -5.1647 4.3518
Tm Zn Ru
2 16 1
direct
0.0000 0.0000 0.0000
0.3405 0.3405 0.3405
0.0197 0.0197 0.4964
0.0197 0.4964 0.0197
0.1656 0.6568 0.6568
0.3065 0.3065 0.8103
0.3065 0.8103 0.3065
0.3696 0.6578 0.9475
0.3696 0.9475 0.6578
0.4964 0.0197 0.0197
0.6568 0.1656 0.6568
0.6568 0.6568 0.1656
0.6578 0.3696 0.9475
0.6578 0.9475 0.3696
0.7644 0.7644 0.7644
0.8103 0.3065 0.3065
0.9475 0.3696 0.6578
0.9475 0.6578 0.3696
0.5620 0.5620 0.5620
```

Values from the calculation:
The space-group type is R3m (160). Its formation energy is -0.202 eV/atom.

=====

Record 4
K2NiSe: relaxed, PBE.

```
K2NiSe
1.0
3.5599 -2.0551 0.0000
3.5599 2.0551 0.0000
-2.2296 0.0000 9.1889
K Ni Se
2 1 1
direct
0.0000 0.0000 0.0000
0.1598 0.1598 0.5123
0.7467 0.7467 0.2562
0.4133 0.4133 0.2562
```

Values from the calculation:
The uncorrected formation energy comes out at -0.42 eV per atom. The space-group type is Cm (8).

=====

Record 5
MgIn2Pb3: relaxed, PBE.

```
MgIn2Pb3
1.0
7.8145 -2.5910 0.0000
7.8145 2.5910 0.0000
0.0000 0.0000 8.4431
Mg In Pb
2 4 6
direct
0.0005 0.9995 0.7500
0.9995 0.0005 0.2500
0.3329 0.3332 0.2500
0.3332 0.3329 0.7500
0.6668 0.6671 0.2500
0.6671 0.6668 0.7500
0.1622 0.1622 0.0000
0.1622 0.1622 0.5000
0.5000 0.5000 0.0000
0.5000 0.5000 0.5000
0.8378 0.8378 0.0000
0.8378 0.8378 0.5000
```

Values from the calculation:
The space-group type is Cmcm (63). The relative energy among the computed polymorphs is 4.5 meV per atom. Its formation energy is 0.007 eV/atom.

=====

Record 6
LiBeAgPt: relaxed, PBE.

```
LiBeAgPt
1.0
0.0000 2.9510 2.9510
2.9510 0.0000 2.9510
2.9510 2.9510 0.0000
Li Be Ag Pt
1 1 1 1
direct
0.0000 0.0000 0.0000
0.5000 0.5000 0.5000
0.2500 0.2500 0.2500
0.7500 0.7500 0.7500
```

Values from the calculation:
The space-group type is F-43m (216). Its formation energy is -0.341 eV/atom.

=====

Record 7
Li5CaGa2: relaxed, PBE.

```
Li5CaGa2
1.0
-1.9400 4.1877 5.1683
1.9400 -4.1877 5.1683
1.9400 4.1877 -5.1683
Li Ca Ga
5 1 2
direct
0.0000 0.0000 0.0000
0.0296 0.3410 0.6887
0.3477 0.6590 0.6887
0.6523 0.3410 0.3113
0.9704 0.6590 0.3113
0.5000 0.0000 0.5000
0.2615 0.2615 0.0000
0.7385 0.7385 0.0000
```

Values from the calculation:
The space-group type is Immm (71). Its formation energy is -0.166 eV/atom.

=====

Record 8
TlSb3Au3: relaxed, PBE.

```
TlSb3Au3
1.0
7.4741 0.0000 0.0000
2.8849 7.3249 0.0000
0.3490 3.8833 7.0107
Tl Sb Au
2 6 6
direct
0.0211 0.2498 0.3206
0.9789 0.7502 0.6794
0.1705 0.2140 0.7373
0.3098 0.5114 0.0637
0.4079 0.7863 0.4000
0.5921 0.2137 0.6000
0.6902 0.4886 0.9363
0.8295 0.7860 0.2627
0.2279 0.5314 0.4055
0.3391 0.8567 0.7074
0.3517 0.1512 0.0585
0.6483 0.8488 0.9415
0.6609 0.1433 0.2926
0.7721 0.4686 0.5945
```

Values from the calculation:
The uncorrected formation energy comes out at -0.01 eV per atom. The space-group type is P-1 (2). The relative energy among the computed polymorphs is 0.0 meV per atom.

=====

Record 9
Er2TmThP4: relaxed, PBE.

```
Er2TmThP4
1.0
6.9395 0.0000 0.0000
0.0000 4.0190 0.0000
-2.3160 0.0000 6.5454
Er Tm Th P
2 1 1 4
direct
0.0000 0.0000 0.0000
0.5000 0.5000 0.0000
0.0000 0.5000 0.5000
0.5000 0.0000 0.5000
0.2427 0.5000 0.2436
0.2462 0.0000 0.7520
0.7538 0.0000 0.2480
0.7573 0.5000 0.7564
```

Values from the calculation:
The space-group type is P2/m (10). Its formation energy is -1.603 eV/atom.

=====

Record 10
ZnCrNiRh: relaxed, PBE.

```
ZnCrNiRh
1.0
0.0000 2.9645 2.9645
2.9645 0.0000 2.9645
2.9645 2.9645 0.0000
Zn Cr Ni Rh
1 1 1 1
direct
0.0000 0.0000 0.0000
0.5000 0.5000 0.5000
0.7500 0.7500 0.7500
0.2500 0.2500 0.2500
```

Values from the calculation:
The space-group type is F-43m (216). Its formation energy is -0.102 eV/atom.

=====

Record 11
BaPrGa3: relaxed, PBE.

```
BaPrGa3
1.0
2.2017 -14.9618 0.0000
2.2017 14.9618 0.0000
0.0000 0.0000 4.3531
Ba Pr Ga
2 2 6
direct
0.1936 0.8064 0.7500
0.8064 0.1936 0.2500
0.0606 0.9394 0.2500
0.9394 0.0606 0.7500
0.3528 0.6472 0.7500
0.3962 0.6038 0.2500
0.4790 0.5210 0.2500
0.5210 0.4790 0.7500
0.6038 0.3962 0.7500
0.6472 0.3528 0.2500
```

Values from the calculation:
The space-group type is Cmcm (63). Its formation energy is -0.544 eV/atom.

=====

Record 12
AgIrO3: relaxed, PBE.

```
AgIrO3
1.0
3.8920 0.0000 0.0000
0.0000 3.8920 0.0000
0.0000 0.0000 3.8920
Ag Ir O
1 1 3
direct
0.0000 0.0000 0.0000
0.5000 0.5000 0.5000
0.0000 0.5000 0.5000
0.5000 0.0000 0.5000
0.5000 0.5000 0.0000
```

Values from the calculation:
The uncorrected formation energy comes out at -0.17 eV per atom. The space-group type is Pm-3m (221).

=====

Record 13
Pr4ScHg2: relaxed, PBE.

```
Pr4ScHg2
1.0
2.7769 1.6032 8.7423
-2.7769 1.6032 8.7423
0.0000 -3.2065 8.7423
Pr Sc Hg
4 1 2
direct
0.1301 0.1301 0.1301
0.2711 0.2711 0.2711
0.7289 0.7289 0.7289
0.8699 0.8699 0.8699
0.5000 0.5000 0.5000
0.3918 0.3918 0.3918
0.6082 0.6082 0.6082
```

Values from the calculation:
The space-group type is R-3m (166). Its formation energy is -0.057 eV/atom.

=====

Record 14
BiIr2S: relaxed, PBE.

```
BiIr2S
1.0
-2.4225 2.4225 7.2126
2.4225 -2.4225 7.2126
2.4225 2.4225 -7.2126
Bi Ir S
2 4 2
direct
0.0000 0.0000 0.0000
0.7500 0.2500 0.5000
0.2411 0.6250 0.1161
0.3750 0.4911 0.6161
0.5089 0.1250 0.8839
0.8750 0.7589 0.3839
0.2500 0.7500 0.5000
0.5000 0.5000 0.0000
```

Values from the calculation:
The uncorrected formation energy comes out at 0.12 eV per atom. The space-group type is I-42d (122). The relative energy among the computed polymorphs is 0.0 meV per atom.

=====

Record 15
PmGa2GeRh2: relaxed, PBE.

```
PmGa2GeRh2
1.0
4.6142 0.0000 0.0000
0.0000 4.6142 0.0000
0.0000 0.0000 5.6055
Pm Ga Ge Rh
1 2 1 2
direct
0.0000 0.0000 0.0000
0.5000 0.5000 0.2414
0.5000 0.5000 0.7586
0.0000 0.0000 0.5000
0.0000 0.5000 0.5000
0.5000 0.0000 0.5000
```

Values from the calculation:
The space-group type is P4/mmm (123). Its formation energy is -0.423 eV/atom.

=====

Record 16
CdAgPdAu2: relaxed, PBE.

```
CdAgPdAu2
1.0
2.0348 -5.7619 0.0000
2.0348 5.7619 0.0000
0.0000 0.0000 8.4472
Cd Ag Pd Au
2 2 2 4
direct
0.0193 0.9807 0.7500
0.9807 0.0193 0.2500
0.3238 0.6762 0.7500
0.6762 0.3238 0.2500
0.5000 0.5000 0.0000
0.5000 0.5000 0.5000
0.1682 0.8318 0.0133
0.1682 0.8318 0.4867
0.8318 0.1682 0.5133
0.8318 0.1682 0.9867
```

Values from the calculation:
The space-group type is Cmcm (63). Its formation energy is -0.089 eV/atom.

=====

Record 17
Ti2NbRhN: relaxed, PBE.

```
Ti2NbRhN
1.0
4.0759 0.0000 0.0000
0.0000 4.0759 0.0000
0.0000 0.0000 4.2759
Ti Nb Rh N
2 1 1 1
direct
0.0000 0.5000 0.0000
0.5000 0.0000 0.0000
0.0000 0.0000 0.5000
0.5000 0.5000 0.5000
0.0000 0.0000 0.0000
```

Values from the calculation:
The uncorrected formation energy comes out at -0.87 eV per atom. The space-group type is P4/mmm (123).

=====

Record 18
Be4P: relaxed, PBE.

```
Be4P
1.0
-2.6827 2.6827 1.6283
2.6827 -2.6827 1.6283
2.6827 2.6827 -1.6283
Be P
4 1
direct
0.0983 0.6927 0.7910
0.3073 0.0983 0.4055
0.6927 0.9017 0.5945
0.9017 0.3073 0.2090
0.5000 0.5000 0.0000
```

Values from the calculation:
The space-group type is I4/m (87). The relative energy among the computed polymorphs is 0.0 meV per atom. Its formation energy is 0.277 eV/atom.

=====

Record 19
MnSiPtW: relaxed, PBE.

```
MnSiPtW
1.0
0.0000 3.0393 3.0393
3.0393 0.0000 3.0393
3.0393 3.0393 0.0000
Mn Si Pt W
1 1 1 1
direct
0.0000 0.0000 0.0000
0.5000 0.5000 0.5000
0.2500 0.2500 0.2500
0.7500 0.7500 0.7500
```

Values from the calculation:
The uncorrected formation energy comes out at -0.17 eV per atom. The space-group type is F-43m (216).

=====

Record 20
KBa2InO4: relaxed, PBE.

```
KBa2InO4
1.0
1.8990 -6.8028 0.0000
1.8990 6.8028 0.0000
0.0000 0.0000 13.5317
K Ba In O
2 4 2 8
direct
0.0993 0.9007 0.7500
0.9007 0.0993 0.2500
0.3711 0.6289 0.5317
0.3711 0.6289 0.9683
0.6289 0.3711 0.0317
0.6289 0.3711 0.4683
0.1742 0.8258 0.2500
0.8258 0.1742 0.7500
0.0000 0.0000 0.0000
0.0000 0.0000 0.5000
0.2562 0.7438 0.1224
0.2562 0.7438 0.3776
0.4074 0.5926 0.7500
0.5926 0.4074 0.2500
0.7438 0.2562 0.6224
0.7438 0.2562 0.8776
```

Values from the calculation:
The uncorrected formation energy comes out at -1.94 eV per atom. The space-group type is Cmcm (63).

=====

We obtain V values of 443.6; 58.0; 301.6; 134.5; 341.9; 51.4; 168.0; 383.8; 182.5; 52.1; 286.8; 59.0; 233.5; 169.3; 119.3; 198.1; 71.0; 46.9; 56.1; 349.6 Å³/cell for the records listed above, in that order.
We obtain total magnetization values of 0.000; 0.000; 0.000; 0.000; 0.000; 0.000; 0.000; 0.000; 0.000; 2.976; 0.000; 1.274; 0.000; 0.000; 0.000; 0.000; 0.000; 0.000; 2.636; 0.000 μB/f.u. for the records listed above, in that order.
We obtain calculated total energy values of -4.50; -5.25; -2.23; -3.29; -3.03; -3.97; -2.37; -3.52; -6.93; -6.11; -3.70; -5.49; -3.78; -6.31; -5.44; -3.19; -9.18; -3.79; -8.57; -5.38 eV/atom for the records listed above, in that order.